1.
4
Lattice="3.1652 0.0004 0.0000 -1.3450 2.8652 0.0000 0.0000 0.0000 9.5042" Properties=species:S:1:pos:R:3 comment="GGA-PBE LaW2Br, relaxed" final_energy_ev_per_atom=-7.726 pbc="T T T"
Br 0.0000 0.0000 4.6023
W 0.0000 0.0000 0.3087
W 0.9101 1.4328 2.1480
La 0.9101 1.4328 7.1974

2.
4
Lattice="3.8664 0.0000 0.0000 0.0000 4.2973 0.0000 0.0000 0.0000 6.4273" Properties=species:S:1:pos:R:3 comment="GGA-PBE LaWBr2, relaxed" final_energy_ev_per_atom=-5.143 pbc="T T T"
Br 0.0000 0.0000 6.2256
Br 1.9332 2.1487 1.9487
W 1.9332 2.1487 4.7020
La 0.0000 0.0000 3.1919

3.
4
Lattice="-1.6453 0.3535 -3.0243 0.0295 -3.4362 -0.4123 -7.6934 -0.5604 4.1199" Properties=species:S:1:pos:R:3 comment="GGA-PBE LaWBr2, relaxed" final_energy_ev_per_atom=-5.410 pbc="T T T"
Br -6.9767 -0.5082 3.7361
Br -3.0559 -1.7051 -0.5144
W -6.7943 -1.9774 1.4875
La -4.0222 -0.2930 2.1540

4.
4
Lattice="3.8777 0.0000 0.0000 0.0000 3.8748 0.0000 0.0000 0.0000 7.1286" Properties=species:S:1:pos:R:3 comment="GGA-PBE LaWBr2, relaxed" final_energy_ev_per_atom=-4.869 pbc="T T T"
Br 0.0000 0.0000 0.1522
Br 0.0000 0.0000 3.4121
W 1.9389 1.9374 5.3465
La 1.9389 1.9374 1.7822

5.
3
Lattice="4.8934 0.0000 0.0000 -2.4467 4.2378 0.0000 0.0000 0.0000 3.2771" Properties=species:S:1:pos:R:3 comment="GGA-PBE LaWBr, relaxed" final_energy_ev_per_atom=-5.963 pbc="T T T"
Br 0.0000 0.0000 2.7311
W 0.0000 2.8252 2.7307
La 2.4467 1.4126 1.0924

6.
4
Lattice="5.8466 0.0579 0.0034 2.0292 5.4835 -0.0034 -3.0929 -3.9717 2.9742" Properties=species:S:1:pos:R:3 comment="GGA-PBE LaW2Br, relaxed" final_energy_ev_per_atom=-7.445 pbc="T T T"
Br 4.2224 2.9708 0.0000
W 7.3991 5.2060 0.0000
W 3.4342 -0.5093 1.4888
La 1.5409 2.2142 1.4854

7.
4
Lattice="6.3330 0.0064 0.0000 3.8900 4.9975 0.0000 -5.1115 -2.5019 2.7785" Properties=species:S:1:pos:R:3 comment="GGA-PBE LaW2Br, relaxed" final_energy_ev_per_atom=-7.418 pbc="T T T"
Br 1.9450 2.4987 1.3892
W 0.0000 0.0000 0.0000
W 5.1115 2.5019 0.0000
La 3.1665 0.0032 1.3892

8.
5
Lattice="-3.9219 -4.3471 -0.5622 2.7545 -3.0310 4.2214 -2.9237 -1.9379 4.6138" Properties=species:S:1:pos:R:3 comment="GGA-PBE La2WBr2, relaxed" final_energy_ev_per_atom=-5.372 pbc="T T T"
Br -1.4596 -3.0336 2.8718
Br -2.6315 -6.2824 5.4012
W 0.0000 0.0000 0.0000
La -3.7146 -4.9870 2.9406
La -0.3764 -4.3290 5.3324

9.
4
Lattice="2.9573 0.0000 0.0000 0.0000 2.9573 0.0000 0.0000 0.0000 9.4490" Properties=species:S:1:pos:R:3 comment="GGA-PBE LaW2Br, relaxed" final_energy_ev_per_atom=-6.871 pbc="T T T"
Br 1.4787 1.4787 2.3622
W 0.0000 0.0000 0.2706
W 0.0000 0.0000 4.4539
La 1.4787 1.4787 7.0867

10.
4
Lattice="-9.7807 -2.7966 -1.6436 -8.4342 -4.7731 -3.5021 -8.7408 -5.4275 -0.5604" Properties=species:S:1:pos:R:3 comment="GGA-PBE LaW2Br, relaxed" final_energy_ev_per_atom=-6.986 pbc="T T T"
W -26.6574 -12.8533 -5.6429
W -13.7762 -6.6423 -2.9163
Br -6.7389 -3.2493 -1.4265
La -20.2168 -9.7478 -4.2796

11.
4
Lattice="-1.7730 -0.0086 3.0713 -2.7005 -4.8987 -1.5726 3.5353 -2.6018 2.0336" Properties=species:S:1:pos:R:3 comment="GGA-PBE LaWBr2, relaxed" final_energy_ev_per_atom=-5.103 pbc="T T T"
Br 0.0000 0.0000 0.0000
Br -2.2368 -2.4536 0.7494
W 0.4174 -3.7502 0.2305
La 0.8812 -1.3052 2.5525

12.
4
Lattice="-9.1091 -3.9833 0.3893 -7.3469 -6.6908 -0.5011 -7.5836 -5.8337 2.7297" Properties=species:S:1:pos:R:3 comment="GGA-PBE LaWBr2, relaxed" final_energy_ev_per_atom=-5.184 pbc="T T T"
Br -21.9729 -15.0885 2.3929
Br -2.0667 -1.4191 0.2251
W 0.0000 0.0000 0.0000
La -12.0198 -8.2538 1.3090

13.
4
Lattice="-0.1138 0.6742 3.2263 -3.2746 -0.7740 0.0462 0.2104 -8.1176 1.7038" Properties=species:S:1:pos:R:3 comment="GGA-PBE LaW2Br, relaxed" final_energy_ev_per_atom=-8.017 pbc="T T T"
Br -0.9359 -4.2321 0.8514
W -0.1238 -0.3859 0.0763
W -1.5370 -1.6052 1.9668
La -2.1134 -6.4399 2.9568

14.
4
Lattice="-2.9098 -1.2179 -1.5119 1.1101 -3.2786 0.5044 -4.6101 -0.1742 9.0126" Properties=species:S:1:pos:R:3 comment="GGA-PBE LaWBr2, relaxed" final_energy_ev_per_atom=-4.902 pbc="T T T"
Br -0.3150 -0.0119 0.6158
Br -1.9900 -0.0752 3.8905
W -4.3574 -2.3789 6.2557
La -2.0524 -2.2918 1.7494

15.
4
Lattice="3.4597 -0.0076 0.0000 -1.9145 2.8817 0.0000 0.0000 0.0000 9.5167" Properties=species:S:1:pos:R:3 comment="GGA-PBE LaWBr2, relaxed" final_energy_ev_per_atom=-4.908 pbc="T T T"
Br 0.0000 0.0000 9.1981
Br 0.0000 0.0000 5.0770
W 0.7726 1.4370 7.1375
La 0.7726 1.4370 2.3792

16.
4
Lattice="-4.7691 -0.2696 4.1716 -2.4591 -2.4850 5.2913 2.8480 3.5727 1.1931" Properties=species:S:1:pos:R:3 comment="GGA-PBE LaW2Br, relaxed" final_energy_ev_per_atom=-7.650 pbc="T T T"
Br -3.2851 0.6135 7.9920
W -6.9563 -2.5395 9.3276
W -2.4619 0.1939 5.4633
La -1.0950 0.2045 2.6640

17.
8
Lattice="-0.8392 -3.3890 1.9178 3.2028 0.5151 2.3117 -5.2582 4.4628 9.7225" Properties=species:S:1:pos:R:3 comment="GGA-PBE LaW2Br, relaxed" final_energy_ev_per_atom=-7.409 pbc="T T T"
Br 1.1818 -1.4369 2.1147
Br -0.4368 1.7705 7.0745
W -1.4673 -1.0537 3.9836
W 0.6109 1.1297 4.0497
W -3.1666 2.2518 8.7990
W -1.7662 0.8500 11.0715
La 0.0000 0.0000 0.0000
La -2.4578 -0.1816 6.8775

18.
8
Lattice="-1.2818 -4.5583 -0.8730 0.0882 -0.9294 4.7235 -9.6295 -0.3272 2.5694" Properties=species:S:1:pos:R:3 comment="GGA-PBE LaWBr2, relaxed" final_energy_ev_per_atom=-5.079 pbc="T T T"
Br -3.2400 -3.1983 0.6582
Br -2.4699 -1.0811 3.5144
Br -7.6727 -2.2725 3.2142
Br -8.2636 -5.0781 5.4531
W 0.0000 0.0000 0.0000
W -5.7541 -3.8147 1.8109
La -0.5968 -2.7439 1.9253
La -5.0691 -2.0003 4.6091

19.
5
Lattice="-4.4488 -2.1536 0.4411 2.1967 -4.3173 1.0772 -0.0837 1.1610 4.8239" Properties=species:S:1:pos:R:3 comment="GGA-PBE LaW3Br, relaxed" final_energy_ev_per_atom=-5.832 pbc="T T T"
Br -1.1679 -2.6549 3.1711
W 1.0984 -2.1586 0.5386
W -0.0419 0.5805 2.4119
W -2.2244 -1.0768 0.2205
La 0.0000 0.0000 0.0000

20.
4
Lattice="4.7405 0.0000 0.0000 0.0000 3.4359 0.0054 0.0000 1.7092 6.2696" Properties=species:S:1:pos:R:3 comment="GGA-PBE LaWBr2, relaxed" final_energy_ev_per_atom=-5.263 pbc="T T T"
Br 0.0000 4.5014 5.7562
Br 2.3703 1.0715 2.0298
W 2.3703 4.5031 4.6849
La 0.0000 2.7868 3.2166